Entry from Alexandria via LeMat-Bulk: TaVCrO6 after structural relaxation (GGA+U).

## Properties
The calculation puts the magnetization at 8.0 μB per cell. The total energy comes out at -0.6328 Ry/atom.

a = 4.6486 Å, b = 4.6486 Å, c = 9.1316 Å
α = 90.00°, β = 90.00°, γ = 90.00°
Closest atoms and distances in Å follow each position.
Space group P4_2nm (No. 102)
One atom of each set of equivalent atoms:
Ta 0.0000 0.0000 0.0000  6 O 1.98-2.02
V 0.0000 0.0000 0.6670  6 O 1.95-2.00
Cr 0.0000 0.0000 0.3349  6 O 2.00-2.05
O 0.1944 0.1944 0.5041  1 V 1.96, 1 Cr 2.00, 1 Ta 2.01
O 0.1949 0.1949 0.8354  1 Ta 1.98, 1 V 2.00, 1 Cr 2.01
O 0.2038 0.2038 0.1653  1 V 1.95, 1 Ta 2.02, 1 Cr 2.05